This record from the Alexandria database describes a relaxed structure of Pm2NdIn. The functional is GGA-PBE.

Energy above the lowest structure with this stoichiometry (kJ per mole of atoms): 14.03
Total DFT energy (no corrections) (eV for the cell shown): -52.56

Unit cell a=3.7254 b=3.7254 c=32.9941 alpha=90.00 beta=90.00 gamma=120.00
Space group R3m (No. 160, hexagonal axes)
Asymmetric unit:
Pm 0.0000 0.0000 0.0000 x3
Pm 0.0000 0.0000 0.1814 x3
Nd 0.0000 0.0000 0.7577 x3
In 0.0000 0.0000 0.5910 x3